# 1
W2SeBr: optimized geometry, GGA-PBEsol.

Uncorrected formation energy, eV/atom: 0.139
Crystal system: trigonal
Distance to the lowest polymorph of the same formula, meV per atom: 0
Calculated density, g/cm3: 11.4
DOS at the Fermi energy, states/eV per atom: 0.75

a = 3.065 Å, b = 3.065 Å, c = 28.376 Å
α = 90.00°, β = 90.00°, γ = 120.00°
Atoms (fractional coordinates):
W: 0.000 0.000 0.000
W: 0.000 0.000 0.254
W: 0.333 0.667 0.667
W: 0.333 0.667 0.920
W: 0.667 0.333 0.333
W: 0.667 0.333 0.587
Se: 0.000 0.000 0.525
Se: 0.333 0.667 0.192
Se: 0.667 0.333 0.859
Br: 0.000 0.000 0.734
Br: 0.333 0.667 0.401
Br: 0.667 0.333 0.067


# 2
LiYP2: optimized geometry, GGA-PBEsol.

Crystal system: cubic
Distance to the lowest polymorph of the same formula, meV per atom: 92
Calculated density, g/cm3: 3.7
DOS at the Fermi energy, states/eV per atom: 0.92
E_form, meV/atom: -671.4

a = 6.587 Å, b = 6.587 Å, c = 6.587 Å
α = 90.00°, β = 90.00°, γ = 90.00°
Atoms (fractional coordinates):
Li: 0.000 0.000 0.000
Li: 0.000 0.500 0.500
Li: 0.500 0.000 0.500
Li: 0.500 0.500 0.000
Y: 0.000 0.000 0.500
Y: 0.000 0.500 0.000
Y: 0.500 0.000 0.000
Y: 0.500 0.500 0.500
P: 0.250 0.250 0.250
P: 0.250 0.250 0.750
P: 0.250 0.750 0.250
P: 0.250 0.750 0.750
P: 0.750 0.250 0.250
P: 0.750 0.250 0.750
P: 0.750 0.750 0.250
P: 0.750 0.750 0.750


# 3
BeCuOs2: optimized geometry, GGA-PBEsol.

Crystal system: trigonal
Calculated density, g/cm3: 15.1
DOS at the Fermi energy, states/eV per atom: 0.82
E_form, meV/atom: 185.1

a = 2.666 Å, b = 2.666 Å, c = 24.253 Å
α = 90.00°, β = 90.00°, γ = 120.00°
Atoms (fractional coordinates):
Be: 0.000 0.000 0.000
Be: 0.333 0.667 0.667
Be: 0.667 0.333 0.333
Cu: 0.000 0.000 0.258
Cu: 0.333 0.667 0.925
Cu: 0.667 0.333 0.591
Os: 0.000 0.000 0.501
Os: 0.000 0.000 0.746
Os: 0.333 0.667 0.168
Os: 0.333 0.667 0.413
Os: 0.667 0.333 0.079
Os: 0.667 0.333 0.834


# 4
AgO2F2: optimized geometry, GGA-PBEsol.

Uncorrected formation energy, eV/atom: 0.779
Crystal system: tetragonal
Distance to the lowest polymorph of the same formula, meV per atom: 389
Calculated density, g/cm3: 5.1
DOS at the Fermi energy, states/eV per atom: 1.08

a = 3.512 Å, b = 3.512 Å, c = 4.741 Å
α = 90.00°, β = 90.00°, γ = 90.00°
Atoms (fractional coordinates):
Ag: 0.000 0.000 0.000
O: 0.000 0.500 0.500
O: 0.500 0.000 0.500
F: 0.500 0.500 0.000
F: 0.500 0.500 0.500


# 5
Hg2POs: optimized geometry, GGA-PBEsol.

Crystal system: tetragonal
Calculated density, g/cm3: 15.1
DOS at the Fermi energy, states/eV per atom: 0.93
E_form, meV/atom: 909.9

a = 3.856 Å, b = 3.856 Å, c = 4.602 Å
α = 90.00°, β = 90.00°, γ = 90.00°
Atoms (fractional coordinates):
Hg: 0.000 0.500 0.000
Hg: 0.500 0.000 0.000
P: 0.000 0.000 0.500
Os: 0.500 0.500 0.500


# 6
Ca2Al2Pt: optimized geometry, GGA-PBEsol.

Crystal system: tetragonal
Calculated density, g/cm3: 5.0
DOS at the Fermi energy, states/eV per atom: 0.66
E_form, meV/atom: -491.7

a = 6.691 Å, b = 6.691 Å, c = 4.873 Å
α = 90.00°, β = 90.00°, γ = 90.00°
Atoms (fractional coordinates):
Ca: 0.179 0.321 0.000
Ca: 0.321 0.821 0.000
Ca: 0.679 0.179 0.000
Ca: 0.821 0.679 0.000
Al: 0.140 0.640 0.500
Al: 0.360 0.140 0.500
Al: 0.640 0.860 0.500
Al: 0.860 0.360 0.500
Pt: 0.000 0.000 0.500
Pt: 0.500 0.500 0.500


# 7
MnAlCu: optimized geometry, GGA-PBEsol.

Crystal system: cubic
Calculated density, g/cm3: 5.5
DOS at the Fermi energy, states/eV per atom: 0.33
E_form, meV/atom: 200.1

a = 5.616 Å, b = 5.616 Å, c = 5.616 Å
α = 90.00°, β = 90.00°, γ = 90.00°
Atoms (fractional coordinates):
Mn: 0.000 0.000 0.000
Mn: 0.000 0.500 0.500
Mn: 0.500 0.000 0.500
Mn: 0.500 0.500 0.000
Al: 0.000 0.000 0.500
Al: 0.000 0.500 0.000
Al: 0.500 0.000 0.000
Al: 0.500 0.500 0.500
Cu: 0.250 0.250 0.250
Cu: 0.250 0.750 0.750
Cu: 0.750 0.250 0.750
Cu: 0.750 0.750 0.250


# 8
K5Na3Ta5Nb3O24: optimized geometry, GGA-PBEsol.

Uncorrected formation energy, eV/atom: -2.585
Crystal system: triclinic
Calculated density, g/cm3: 6.0
DOS at the Fermi energy, states/eV per atom: 0.00

a = 7.973 Å, b = 7.977 Å, c = 7.979 Å
α = 89.96°, β = 89.97°, γ = 89.97°
Atoms (fractional coordinates):
K: 0.000 0.000 0.000
K: 0.000 0.000 0.499
K: 0.000 0.500 0.000
K: 0.000 0.500 0.499
K: 0.499 0.000 0.000
Na: 0.505 0.508 0.008
Na: 0.506 0.008 0.510
Na: 0.506 0.508 0.511
Ta: 0.252 0.251 0.752
Ta: 0.252 0.750 0.752
Ta: 0.749 0.252 0.752
Ta: 0.749 0.751 0.750
Ta: 0.751 0.752 0.251
Nb: 0.254 0.755 0.254
Nb: 0.258 0.257 0.253
Nb: 0.754 0.253 0.253
O: 0.247 0.496 0.245
O: 0.248 0.996 0.246
O: 0.249 0.246 0.497
O: 0.249 0.247 0.994
O: 0.250 0.744 0.995
O: 0.250 0.997 0.744
O: 0.251 0.497 0.744
O: 0.251 0.744 0.498
O: 0.497 0.246 0.246
O: 0.497 0.246 0.742
O: 0.498 0.740 0.245
O: 0.498 0.746 0.744
O: 0.742 0.247 0.498
O: 0.742 0.498 0.246
O: 0.742 0.498 0.745
O: 0.742 0.745 0.497
O: 0.742 0.995 0.248
O: 0.743 0.249 0.995
O: 0.744 0.745 0.996
O: 0.744 0.997 0.744
O: 0.995 0.745 0.247
O: 0.996 0.245 0.246
O: 0.997 0.248 0.745
O: 0.997 0.746 0.745


# 9
Cd7P10: optimized geometry, GGA-PBEsol.

Crystal system: orthorhombic
Calculated density, g/cm3: 5.1
E_form, meV/atom: -60.6

a = 13.863 Å, b = 11.677 Å, c = 17.832 Å
α = 50.99°, β = 40.88°, γ = 88.13°
Atoms (fractional coordinates):
Cd: 0.009 0.607 0.156
Cd: 0.022 0.094 0.643
Cd: 0.028 0.028 0.972
Cd: 0.094 0.022 0.241
Cd: 0.278 0.278 0.222
Cd: 0.301 0.699 0.295
Cd: 0.343 0.534 0.733
Cd: 0.517 0.860 0.907
Cd: 0.534 0.343 0.390
Cd: 0.545 0.955 0.551
Cd: 0.607 0.009 0.228
Cd: 0.699 0.301 0.705
Cd: 0.860 0.517 0.716
Cd: 0.955 0.545 0.949
P: 0.011 0.809 0.617
P: 0.060 0.389 0.444
P: 0.143 0.806 0.861
P: 0.281 0.942 0.489
P: 0.286 0.497 0.588
P: 0.301 0.473 0.937
P: 0.313 0.962 0.949
P: 0.389 0.060 0.107
P: 0.473 0.301 0.288
P: 0.497 0.286 0.629
P: 0.621 0.662 0.753
P: 0.633 0.687 0.239
P: 0.662 0.621 0.964
P: 0.687 0.633 0.441
P: 0.761 0.962 0.969
P: 0.806 0.143 0.190
P: 0.809 0.011 0.563
P: 0.942 0.281 0.288
P: 0.962 0.313 0.777
P: 0.962 0.761 0.308


# 10
Zr2FeCo: optimized geometry, GGA-PBEsol.

Crystal system: cubic
Distance to the lowest polymorph of the same formula, meV per atom: 0
Calculated density, g/cm3: 8.0
DOS at the Fermi energy, states/eV per atom: 0.64
E_form, meV/atom: -259.7

a = 6.266 Å, b = 6.266 Å, c = 6.266 Å
α = 90.00°, β = 90.00°, γ = 90.00°
Atoms (fractional coordinates):
Zr: 0.250 0.250 0.250
Zr: 0.250 0.250 0.750
Zr: 0.250 0.750 0.250
Zr: 0.250 0.750 0.750
Zr: 0.750 0.250 0.250
Zr: 0.750 0.250 0.750
Zr: 0.750 0.750 0.250
Zr: 0.750 0.750 0.750
Fe: 0.000 0.000 0.000
Fe: 0.000 0.500 0.500
Fe: 0.500 0.000 0.500
Fe: 0.500 0.500 0.000
Co: 0.000 0.000 0.500
Co: 0.000 0.500 0.000
Co: 0.500 0.000 0.000
Co: 0.500 0.500 0.500


# 11
K2SmPCO7: optimized geometry, GGA-PBEsol.

Uncorrected formation energy, eV/atom: -2.375
Crystal system: monoclinic
Calculated density, g/cm3: 3.2
DOS at the Fermi energy, states/eV per atom: 0.00

a = 5.619 Å, b = 7.186 Å, c = 10.001 Å
α = 90.00°, β = 91.00°, γ = 90.00°
Atoms (fractional coordinates):
K: 0.239 0.016 0.288
K: 0.239 0.484 0.288
K: 0.761 0.516 0.712
K: 0.761 0.984 0.712
Sm: 0.301 0.250 0.886
Sm: 0.699 0.750 0.114
P: 0.208 0.750 0.932
P: 0.792 0.250 0.068
C: 0.248 0.250 0.607
C: 0.752 0.750 0.393
O: 0.069 0.250 0.076
O: 0.071 0.250 0.692
O: 0.213 0.250 0.482
O: 0.289 0.750 0.082
O: 0.308 0.573 0.865
O: 0.308 0.927 0.865
O: 0.460 0.250 0.663
O: 0.540 0.750 0.337
O: 0.692 0.073 0.135
O: 0.692 0.427 0.135
O: 0.711 0.250 0.918
O: 0.787 0.750 0.518
O: 0.929 0.750 0.308
O: 0.931 0.750 0.924


# 12
ZrSbIrSe2: optimized geometry, GGA-PBEsol.

Uncorrected formation energy, eV/atom: 0.874
Crystal system: tetragonal
Calculated density, g/cm3: 6.8
DOS at the Fermi energy, states/eV per atom: 1.29

a = 4.931 Å, b = 4.931 Å, c = 5.680 Å
α = 90.00°, β = 90.00°, γ = 90.00°
Atoms (fractional coordinates):
Zr: 0.000 0.000 0.000
Sb: 0.000 0.000 0.500
Ir: 0.500 0.500 0.500
Se: 0.000 0.500 0.000
Se: 0.500 0.000 0.000


# 13
MgIr2Rh: optimized geometry, GGA-PBEsol.

Crystal system: monoclinic
Calculated density, g/cm3: 14.9
DOS at the Fermi energy, states/eV per atom: 0.96
E_form, meV/atom: -170.4

a = 9.070 Å, b = 2.737 Å, c = 4.666 Å
α = 90.00°, β = 99.87°, γ = 90.00°
Atoms (fractional coordinates):
Mg: 0.000 0.000 0.000
Mg: 0.500 0.500 0.000
Ir: 0.244 0.000 0.742
Ir: 0.256 0.500 0.258
Ir: 0.744 0.500 0.742
Ir: 0.756 0.000 0.258
Rh: 0.000 0.500 0.500
Rh: 0.500 0.000 0.500


# 14
Sc3SbC: optimized geometry, GGA-PBEsol.

Uncorrected formation energy, eV/atom: -0.841
Crystal system: cubic
Calculated density, g/cm3: 5.0
DOS at the Fermi energy, states/eV per atom: 0.59

a = 4.473 Å, b = 4.473 Å, c = 4.473 Å
α = 90.00°, β = 90.00°, γ = 90.00°
Atoms (fractional coordinates):
Sc: 0.000 0.000 0.500
Sc: 0.000 0.500 0.000
Sc: 0.500 0.000 0.000
Sb: 0.500 0.500 0.500
C: 0.000 0.000 0.000


# 15
LaIr: optimized geometry, GGA-PBEsol.

Crystal system: hexagonal
Calculated density, g/cm3: 11.3
DOS at the Fermi energy, states/eV per atom: 0.25
E_form, meV/atom: -291.9

a = 3.917 Å, b = 3.917 Å, c = 7.324 Å
α = 90.00°, β = 90.00°, γ = 120.00°
Atoms (fractional coordinates):
La: 0.000 0.000 0.000
La: 0.000 0.000 0.500
Ir: 0.333 0.667 0.250
Ir: 0.667 0.333 0.750


# 16
Na2SnCl2: optimized geometry, GGA-PBEsol.

Uncorrected formation energy, eV/atom: -0.753
Crystal system: tetragonal
Calculated density, g/cm3: 2.7
DOS at the Fermi energy, states/eV per atom: 0.38

a = 4.764 Å, b = 4.764 Å, c = 12.701 Å
α = 90.00°, β = 90.00°, γ = 90.00°
Atoms (fractional coordinates):
Na: 0.000 0.500 0.250
Na: 0.000 0.500 0.750
Na: 0.500 0.000 0.250
Na: 0.500 0.000 0.750
Sn: 0.000 0.000 0.000
Sn: 0.500 0.500 0.500
Cl: 0.000 0.000 0.346
Cl: 0.000 0.000 0.654
Cl: 0.500 0.500 0.154
Cl: 0.500 0.500 0.846


# 17
BaY4Hg: optimized geometry, GGA-PBEsol.

Crystal system: cubic
Calculated density, g/cm3: 5.9
DOS at the Fermi energy, states/eV per atom: 1.25
E_form, meV/atom: 306.4

a = 6.498 Å, b = 6.498 Å, c = 6.498 Å
α = 60.00°, β = 60.00°, γ = 60.00°
Atoms (fractional coordinates):
Ba: 0.000 0.000 0.000
Y: 0.376 0.376 0.376
Y: 0.376 0.376 0.871
Y: 0.376 0.871 0.376
Y: 0.871 0.376 0.376
Hg: 0.750 0.750 0.750


# 18
La2YTl: optimized geometry, GGA-PBEsol.

Crystal system: orthorhombic
Distance to the lowest polymorph of the same formula, meV per atom: 52
Calculated density, g/cm3: 7.7
DOS at the Fermi energy, states/eV per atom: 1.39
E_form, meV/atom: -201.9

a = 3.763 Å, b = 4.703 Å, c = 6.933 Å
α = 90.00°, β = 90.00°, γ = 90.00°
Atoms (fractional coordinates):
La: 0.000 0.000 0.233
La: 0.000 0.000 0.767
Y: 0.500 0.500 0.500
Tl: 0.500 0.500 0.000


# 19
LaScTl: optimized geometry, GGA-PBEsol.

Crystal system: cubic
Distance to the lowest polymorph of the same formula, meV per atom: 447
Calculated density, g/cm3: 7.5
DOS at the Fermi energy, states/eV per atom: 1.66
E_form, meV/atom: 208.9

a = 7.018 Å, b = 7.018 Å, c = 7.018 Å
α = 90.00°, β = 90.00°, γ = 90.00°
Atoms (fractional coordinates):
La: 0.000 0.000 0.000
La: 0.000 0.500 0.500
La: 0.500 0.000 0.500
La: 0.500 0.500 0.000
Sc: 0.250 0.250 0.250
Sc: 0.250 0.750 0.750
Sc: 0.750 0.250 0.750
Sc: 0.750 0.750 0.250
Tl: 0.000 0.000 0.500
Tl: 0.000 0.500 0.000
Tl: 0.500 0.000 0.000
Tl: 0.500 0.500 0.500


# 20
HfHRh3: optimized geometry, GGA-PBEsol.

Crystal system: cubic
Distance to the lowest polymorph of the same formula, meV per atom: 0
Calculated density, g/cm3: 13.4
DOS at the Fermi energy, states/eV per atom: 0.41

a = 3.928 Å, b = 3.928 Å, c = 3.928 Å
α = 90.00°, β = 90.00°, γ = 90.00°
Atoms (fractional coordinates):
Hf: 0.000 0.000 0.000
H: 0.500 0.500 0.500
Rh: 0.000 0.500 0.500
Rh: 0.500 0.000 0.500
Rh: 0.500 0.500 0.000


# 21
CsGe2IrS: optimized geometry, GGA-PBEsol.

Uncorrected formation energy, eV/atom: 1.244
Crystal system: tetragonal
Calculated density, g/cm3: 6.3
DOS at the Fermi energy, states/eV per atom: 0.90

a = 4.736 Å, b = 4.736 Å, c = 5.896 Å
α = 90.00°, β = 90.00°, γ = 90.00°
Atoms (fractional coordinates):
Cs: 0.000 0.000 0.000
Ge: 0.000 0.500 0.500
Ge: 0.500 0.000 0.500
Ir: 0.500 0.500 0.000
S: 0.000 0.000 0.500


# 22
BeTlW2: optimized geometry, GGA-PBEsol.

Crystal system: monoclinic
Calculated density, g/cm3: 15.2
DOS at the Fermi energy, states/eV per atom: 0.47
E_form, meV/atom: 777.2

a = 2.775 Å, b = 4.294 Å, c = 5.480 Å
α = 90.00°, β = 103.30°, γ = 90.00°
Atoms (fractional coordinates):
Be: 0.000 0.000 0.000
Tl: 0.500 0.000 0.500
W: 0.251 0.500 0.781
W: 0.749 0.500 0.219


# 23
Cs2NaGaH6: optimized geometry, GGA-PBEsol.

Crystal system: cubic
E, eV per atom: -2.81
Calculated density, g/cm3: 4.1

a = 5.948 Å, b = 5.948 Å, c = 5.948 Å
α = 60.00°, β = 60.00°, γ = 60.00°
Atoms (fractional coordinates):
Cs: 0.250 0.250 0.250
Cs: 0.750 0.750 0.750
Na: 0.000 0.000 0.000
Ga: 0.500 0.500 0.500
H: 0.287 0.287 0.713
H: 0.287 0.713 0.287
H: 0.287 0.713 0.713
H: 0.713 0.287 0.287
H: 0.713 0.287 0.713
H: 0.713 0.713 0.287


# 24
Na2InPbAu: optimized geometry, GGA-PBEsol.

Crystal system: tetragonal
Calculated density, g/cm3: 5.1
DOS at the Fermi energy, states/eV per atom: 0.84
E_form, meV/atom: 473.0

a = 5.760 Å, b = 5.760 Å, c = 5.558 Å
α = 90.00°, β = 90.00°, γ = 90.00°
Atoms (fractional coordinates):
Na: 0.000 0.500 0.000
Na: 0.500 0.000 0.000
In: 0.000 0.000 0.500
Pb: 0.000 0.000 0.000
Au: 0.500 0.500 0.500